# 1
PrSc2Tc: optimized geometry, PBE-GGA.

Values from the calculation:
ΔE to the lowest computed polymorph, kJ/mol of atoms: 0.0
N(E_F), states/eV/f.u.: 6.74

a = 3.3126 Å, b = 3.3126 Å, c = 8.6724 Å
α = 90.00°, β = 90.00°, γ = 90.00°
Positions (direct):
Pr  0.0000  0.0000  0.0000
Sc  0.5000  0.5000  0.3243
Sc  0.5000  0.5000  0.6757
Tc  0.0000  0.0000  0.5000

# 2
Hf2NO: optimized geometry, PBE-GGA.

Values from the calculation:
ΔE to the lowest computed polymorph, kJ/mol of atoms: 7.9
Energy relative to the elements, uncorrected, meV/atom: -1826.8
N(E_F), states/eV/f.u.: 1.93

a = 4.9266 Å, b = 4.9266 Å, c = 9.8357 Å
α = 90.00°, β = 90.00°, γ = 90.00°
Positions (direct):
Hf  0.2412  0.2500  0.1250
Hf  0.2500  0.7412  0.3750
Hf  0.2500  0.7588  0.8750
Hf  0.2588  0.2500  0.6250
Hf  0.7412  0.7500  0.6250
Hf  0.7500  0.2412  0.8750
Hf  0.7500  0.2588  0.3750
Hf  0.7588  0.7500  0.1250
N  0.0000  0.0000  0.0000
N  0.0000  0.5000  0.2500
N  0.5000  0.0000  0.7500
N  0.5000  0.5000  0.5000
O  0.0000  0.0000  0.5000
O  0.0000  0.5000  0.7500
O  0.5000  0.0000  0.2500
O  0.5000  0.5000  0.0000

# 3
Tb2Pr6Y: optimized geometry, PBE-GGA.

Values from the calculation:
ΔE to the lowest computed polymorph, kJ/mol of atoms: 4.5
N(E_F), states/eV/f.u.: 12.66

a = 10.1579 Å, b = 10.1579 Å, c = 3.6957 Å
α = 90.00°, β = 90.00°, γ = 124.08°
Positions (direct):
Tb  0.1763  0.8237  0.0000
Tb  0.8237  0.1763  0.0000
Pr  0.1594  0.4897  0.5000
Pr  0.3171  0.3171  0.0000
Pr  0.4897  0.1594  0.5000
Pr  0.5103  0.8406  0.5000
Pr  0.6829  0.6829  0.0000
Pr  0.8406  0.5103  0.5000
Y  0.0000  0.0000  0.5000

# 4
Rb2SrHO: optimized geometry, PBE-GGA.

Values from the calculation:
N(E_F), states/eV/f.u.: 4.77
Total DFT energy (no corrections), eV per formula unit: -11.8

a = 5.0873 Å, b = 5.0873 Å, c = 8.8808 Å
α = 90.00°, β = 90.00°, γ = 90.00°
Positions (direct):
Rb  0.0000  0.5000  0.0000
Rb  0.5000  0.0000  0.0000
Sr  0.0000  0.0000  0.5000
H  0.5000  0.5000  0.5000
O  0.5000  0.5000  0.0000

# 5
La2Pr3Y6Th: optimized geometry, PBE-GGA.

Values from the calculation:
N(E_F), states/eV/f.u.: 15.29
Total DFT energy (no corrections), eV per formula unit: -70.2

a = 6.3276 Å, b = 6.3276 Å, c = 11.8842 Å
α = 95.10°, β = 95.10°, γ = 119.99°
Positions (direct):
La  0.1668  0.8332  0.0000
La  0.8332  0.1668  0.0000
Pr  0.0000  0.0000  0.5000
Pr  0.3331  0.6669  0.5000
Pr  0.6669  0.3331  0.5000
Y  0.0886  0.4172  0.7521
Y  0.2542  0.2542  0.2478
Y  0.4172  0.0886  0.7521
Y  0.5828  0.9114  0.2479
Y  0.7458  0.7458  0.7522
Y  0.9114  0.5828  0.2479
Th  0.5000  0.5000  0.0000

# 6
PmAgHgBi: optimized geometry, PBE-GGA.

Values from the calculation:
N(E_F), states/eV/f.u.: 2.19
Total DFT energy (no corrections), eV per formula unit: -13.0

a = 7.4627 Å, b = 7.4627 Å, c = 7.4627 Å
α = 90.00°, β = 90.00°, γ = 90.00°
Positions (direct):
Pm  0.0000  0.0000  0.0000
Pm  0.0000  0.5000  0.5000
Pm  0.5000  0.0000  0.5000
Pm  0.5000  0.5000  0.0000
Ag  0.2500  0.2500  0.2500
Ag  0.2500  0.7500  0.7500
Ag  0.7500  0.2500  0.7500
Ag  0.7500  0.7500  0.2500
Hg  0.2500  0.2500  0.7500
Hg  0.2500  0.7500  0.2500
Hg  0.7500  0.2500  0.2500
Hg  0.7500  0.7500  0.7500
Bi  0.0000  0.0000  0.5000
Bi  0.0000  0.5000  0.0000
Bi  0.5000  0.0000  0.0000
Bi  0.5000  0.5000  0.5000

# 7
LaCdIr2: optimized geometry, PBE-GGA.

Values from the calculation:
N(E_F), states/eV/f.u.: 2.93
Total DFT energy (no corrections), eV per formula unit: -24.2

a = 10.9056 Å, b = 3.0248 Å, c = 5.0991 Å
α = 90.00°, β = 107.68°, γ = 90.00°
Positions (direct):
La  0.0000  0.0000  0.0000
La  0.5000  0.5000  0.0000
Cd  0.2049  0.0000  0.6377
Cd  0.7049  0.5000  0.6377
Ir  0.2655  0.5000  0.1700
Ir  0.4559  0.0000  0.4800
Ir  0.7655  0.0000  0.1700
Ir  0.9559  0.5000  0.4800

# 8
Cr2FeAs2: optimized geometry, PBE-GGA.

Values from the calculation:
N(E_F), states/eV/f.u.: 3.99
Total DFT energy (no corrections), eV per formula unit: -36.5

a = 6.5419 Å, b = 6.5419 Å, c = 3.2883 Å
α = 90.00°, β = 90.00°, γ = 90.00°
Positions (direct):
Cr  0.1460  0.3540  0.0000
Cr  0.3540  0.8540  0.0000
Cr  0.6460  0.1460  0.0000
Cr  0.8540  0.6460  0.0000
Fe  0.0000  0.0000  0.5000
Fe  0.5000  0.5000  0.5000
As  0.1533  0.6533  0.5000
As  0.3467  0.1533  0.5000
As  0.6533  0.8467  0.5000
As  0.8467  0.3467  0.5000